Here is Pr8Ge3Te4I after structural relaxation from the Alexandria database. Energies are from PBE.

## Properties
- total energy (eV per atom) = -5.374
- magnetic moment (μB per formula unit) = 0.00
- volume (Å³/cell) = 508
- formation energy from raw total energies (eV/atom) = -1.2363

Cell: 8.996 8.996 8.996 Å, 59.41 59.41 59.41°
Fractional coordinates of all 16 atoms:
Pr (0.223, 0.754, 0.754)
Pr (0.242, 0.242, 0.242)
Pr (0.246, 0.246, 0.777)
Pr (0.246, 0.777, 0.246)
Pr (0.754, 0.223, 0.754)
Pr (0.754, 0.754, 0.223)
Pr (0.758, 0.758, 0.758)
Pr (0.777, 0.246, 0.246)
Ge (0.000, 0.000, 0.500)
Ge (0.000, 0.500, 0.000)
Ge (0.500, 0.000, 0.000)
Te (0.000, 0.000, 0.000)
Te (0.000, 0.500, 0.500)
Te (0.500, 0.000, 0.500)
Te (0.500, 0.500, 0.000)
I (0.500, 0.500, 0.500)